# 1
PBE InH2I4, relaxed; magnetic moment = 0.000 Bohr magnetons per cell; E = -2.35 eV/atom; crystal system = triclinic; calculated volume = 35.9 A^3/atom; Fermi-level density of states = 2.4 states/eV/cell; symmetry = No. 2
1.0
4.247 0.000 0.000
0.872 7.643 0.000
0.910 3.691 7.738
In H I
1 2 4
Direct
0.000 0.000 0.000
0.319 0.333 0.699
0.681 0.667 0.301
0.069 0.479 0.759
0.438 0.001 0.265
0.562 0.999 0.735
0.931 0.521 0.241

---

# 2
PBE Tb3PtRh2, relaxed; magnetic moment = 0.000 Bohr magnetons per cell; E = -6.74 eV/atom; crystal system = trigonal; formation energy from the elements = -965 meV per atom; calculated volume = 20.8 A^3/atom; Fermi-level density of states = 4.7 states/eV/cell; symmetry = No. 164
1.0
4.897 0.000 0.000
-2.448 4.241 0.000
0.000 0.000 11.995
Tb Pt Rh
6 2 4
Direct
0.000 0.000 0.248
0.000 0.000 0.752
0.333 0.667 0.416
0.333 0.667 0.918
0.667 0.333 0.082
0.667 0.333 0.584
0.333 0.667 0.666
0.667 0.333 0.334
0.000 0.000 0.000
0.000 0.000 0.500
0.333 0.667 0.164
0.667 0.333 0.836

---

# 3
PBE Ga2CuNiPt, relaxed; magnetic moment = 0.725 Bohr magnetons per cell; E = -3.89 eV/atom; crystal system = tetragonal; formation energy from the elements = 508 meV per atom; calculated volume = 21.2 A^3/atom; Fermi-level density of states = 6.1 states/eV/cell; symmetry = No. 123
1.0
4.700 0.000 0.000
0.000 4.700 0.000
0.000 0.000 4.807
Ga Cu Ni Pt
2 1 1 1
Direct
0.000 0.500 0.000
0.500 0.000 0.000
0.000 0.000 0.500
0.500 0.500 0.500
0.000 0.000 0.000

---

# 4
PBE Rb3Ho2HfTe6, relaxed; formation energy from raw total energies = -1.183 eV/atom; magnetic moment = 0.000 Bohr magnetons per cell; E = -4.59 eV/atom; crystal system = monoclinic; calculated volume = 35.9 A^3/atom; Fermi-level density of states = 4.8 states/eV/cell; symmetry = No. 12
1.0
3.808 -6.595 0.000
3.808 6.595 0.000
-2.543 0.000 8.583
Rb Ho Hf Te
3 2 1 6
Direct
0.000 0.000 0.000
0.329 0.671 0.000
0.671 0.329 0.000
0.166 0.834 0.500
0.834 0.166 0.500
0.500 0.500 0.500
0.115 0.435 0.304
0.247 0.247 0.698
0.435 0.115 0.304
0.565 0.885 0.696
0.753 0.753 0.302
0.885 0.565 0.696

---

# 5
PBE ErNiH, relaxed; magnetic moment = 0.000 Bohr magnetons per cell; E = -4.74 eV/atom; crystal system = hexagonal; calculated volume = 13.8 A^3/atom; distance to the lowest polymorph of the same formula = 264.9 meV per atom; Fermi-level density of states = 1.6 states/eV/cell; symmetry = No. 187
1.0
3.724 0.000 0.000
-1.862 3.225 0.000
0.000 0.000 3.435
Er Ni H
1 1 1
Direct
0.000 0.000 0.000
0.333 0.667 0.500
0.667 0.333 0.500

---

# 6
PBE BaLi2Os, relaxed; magnetic moment = 0.474 Bohr magnetons per cell; E = -3.41 eV/atom; crystal system = trigonal; formation energy from the elements = 837 meV per atom; calculated volume = 20.9 A^3/atom; distance to the lowest polymorph of the same formula = 240.7 meV per atom; Fermi-level density of states = 2.0 states/eV/cell; symmetry = No. 166
1.0
1.506 0.869 10.665
-1.506 0.869 10.665
0.000 -1.739 10.665
Ba Li Os
1 2 1
Direct
0.000 0.000 0.000
0.231 0.231 0.231
0.769 0.769 0.769
0.500 0.500 0.500

---

# 7
PBE Rb2SrPb2, relaxed; magnetic moment = 0.000 Bohr magnetons per cell; E = -2.15 eV/atom; crystal system = tetragonal; formation energy from the elements = 52 meV per atom; calculated volume = 42.8 A^3/atom; distance to the lowest polymorph of the same formula = 158.3 meV per atom; Fermi-level density of states = 10.1 states/eV/cell; symmetry = No. 127
1.0
10.617 0.000 0.000
0.000 10.617 0.000
0.000 0.000 3.797
Rb Sr Pb
4 2 4
Direct
0.121 0.379 0.000
0.379 0.879 0.000
0.621 0.121 0.000
0.879 0.621 0.000
0.000 0.000 0.000
0.500 0.500 0.000
0.178 0.678 0.500
0.322 0.178 0.500
0.678 0.822 0.500
0.822 0.322 0.500

---

# 8
PBE Nd3AgHg3, relaxed; magnetic moment = 0.000 Bohr magnetons per cell; E = -2.87 eV/atom; crystal system = monoclinic; formation energy from the elements = -289 meV per atom; calculated volume = 28.3 A^3/atom; Fermi-level density of states = 16.4 states/eV/cell; symmetry = No. 12
1.0
5.251 -5.116 0.000
5.251 5.116 0.000
-0.125 0.000 7.369
Nd Ag Hg
6 2 6
Direct
0.053 0.439 0.748
0.078 0.078 0.264
0.439 0.053 0.748
0.561 0.947 0.252
0.922 0.922 0.736
0.947 0.561 0.252
0.358 0.358 0.451
0.642 0.642 0.549
0.241 0.759 0.000
0.256 0.744 0.500
0.351 0.351 0.064
0.649 0.649 0.936
0.744 0.256 0.500
0.759 0.241 0.000

---

# 9
PBE Zn2TcSe, relaxed; formation energy from raw total energies = 0.391 eV/atom; magnetic moment = 0.000 Bohr magnetons per cell; E = -3.71 eV/atom; crystal system = cubic; calculated volume = 15.6 A^3/atom; distance to the lowest polymorph of the same formula = 362.8 meV per atom; Fermi-level density of states = 3.3 states/eV/cell; symmetry = No. 216
1.0
0.000 3.150 3.150
3.150 0.000 3.150
3.150 3.150 0.000
Zn Tc Se
2 1 1
Direct
0.000 0.000 0.000
0.250 0.250 0.250
0.750 0.750 0.750
0.500 0.500 0.500

---

# 10
PBE MnFeTe2N, relaxed; formation energy from raw total energies = 0.478 eV/atom; magnetic moment = 4.062 Bohr magnetons per cell; E = -5.97 eV/atom; crystal system = tetragonal; calculated volume = 19.0 A^3/atom; distance to the lowest polymorph of the same formula = 162.8 meV per atom; Fermi-level density of states = 6.7 states/eV/cell; symmetry = No. 123
1.0
5.267 0.000 0.000
0.000 5.267 0.000
0.000 0.000 3.428
Mn Fe Te N
1 1 2 1
Direct
0.000 0.000 0.000
0.500 0.500 0.500
0.000 0.500 0.000
0.500 0.000 0.000
0.000 0.000 0.500

---

# 11
PBE BaZrCl2, relaxed; formation energy from raw total energies = -0.641 eV/atom; magnetic moment = 0.000 Bohr magnetons per cell; E = -4.18 eV/atom; crystal system = tetragonal; calculated volume = 24.6 A^3/atom; distance to the lowest polymorph of the same formula = 422.1 meV per atom; Fermi-level density of states = 2.8 states/eV/cell; symmetry = No. 139
1.0
-2.593 2.593 3.663
2.593 -2.593 3.663
2.593 2.593 -3.663
Ba Zr Cl
1 1 2
Direct
0.000 0.000 0.000
0.500 0.500 0.000
0.250 0.750 0.500
0.750 0.250 0.500

---

# 12
PBE Na4Tl7Ga, relaxed; magnetic moment = 0.000 Bohr magnetons per cell; E = -2.13 eV/atom; crystal system = triclinic; formation energy from the elements = -57 meV per atom; calculated volume = 28.6 A^3/atom; Fermi-level density of states = 5.6 states/eV/cell; symmetry = No. 2
1.0
5.705 0.000 0.000
-0.317 6.547 0.000
-0.087 -2.338 9.205
Na Tl Ga
4 7 1
Direct
0.246 0.389 0.239
0.250 0.853 0.653
0.750 0.147 0.347
0.754 0.611 0.761
0.227 0.880 0.291
0.244 0.452 0.905
0.278 0.327 0.560
0.500 0.000 0.000
0.722 0.673 0.440
0.756 0.548 0.095
0.773 0.120 0.709
0.000 0.000 0.000